1.
This record from the Alexandria database describes an optimized crystal structure of K3Li2WO6. The functional is PBE+U.

Calculated values
ρ, Mg/m³: 4.06
Uncorrected energy, eV/atom: -5.395

Cell lengths 5.6293, 9.9865, 6.2072 Å; angles 90.00, 105.38, 90.00 degrees
With the nearest neighbours (Å) after each atom.
Space group C2/m (No. 12)
One atom of each set of equivalent atoms:
K1 0.0000 0.0000 0.0000  6 O 2.66-2.76
K2 0.0000 0.3176 0.0000  6 O 2.61-2.84
Li1 0.0000 0.1885 0.5000  4 O 2.17-2.22
W1 0.0000 0.5000 0.5000  6 O 1.95-1.98
O1 0.2051 0.5000 0.2916  1 W 1.95
O2 0.2112 0.3571 0.6722  1 W 1.98, 2 Li 2.17-2.22

2.
This record from the Alexandria database describes an optimized crystal structure of Ba2LiSmCoCu2O7. The functional is PBE+U.

Calculated values
ρ, Mg/m³: 5.40
Energy above the lowest structure with this stoichiometry, meV/atom: 0

Cell lengths 3.8495, 4.0016, 14.5819 Å; angles 90.00, 90.00, 90.00 degrees
With the nearest neighbours (Å) after each atom.
Space group Pmm2 (No. 25)
One atom of each set of equivalent atoms:
Ba1 0.0000 0.0000 0.0000  10 O 2.80-3.12
Ba2 0.0000 0.0000 0.2818  6 O 2.69-2.78
Li1 0.0000 0.0000 0.5674  4 O 2.11-2.16
Sm1 0.0000 0.0000 0.7474  6 O 2.37-2.61, 1 Li 2.62
Co1 0.5000 0.5000 0.1512  4 O 1.81-2.00
Cu1 0.5000 0.5000 0.6194  4 O 1.93-2.00
Cu2 0.5000 0.5000 0.8519  4 O 1.94-2.01
O1 0.0000 0.5000 0.6226  2 Cu 1.93, 2 Li 2.16
O2 0.0000 0.5000 0.8360  2 Cu 1.94
O3 0.5000 0.0000 0.1531  2 Co 2.00
O4 0.5000 0.0000 0.6270  2 Cu 2.00, 2 Li 2.11
O5 0.5000 0.0000 0.8422  2 Cu 2.01
O6 0.5000 0.5000 0.0271  1 Co 1.81
O7 0.5000 0.5000 0.2793  1 Co 1.87